Entry 1:
This record from OQMD describes KAgAsAu after structural relaxation. The functional is PBE.

Cell lengths 7.0920, 7.0920, 7.0920 Å; angles 90.00, 90.00, 90.00 degrees
Last column: nearest neighbours and their distance in Å.
Space group F-43m (No. 216)
Unique sites:
1 K 0.0000 0.0000 0.0000 x4  4 Au 3.07, 4 Ag 3.07
2 Ag 0.2500 0.2500 0.2500 x4  4 K 3.07, 4 As 3.07
3 As 0.0000 0.0000 0.5000 x4  4 Ag 3.07, 4 Au 3.07
4 Au 0.2500 0.2500 0.7500 x4  4 As 3.07, 4 K 3.07

Summary:
ΔE to the lowest computed polymorph, kJ/mol of atoms: 0.00
V, Å³ per cell: 357


Entry 2:
This record from OQMD describes Y2ErLu4Ni2Te2 after structural relaxation. The functional is PBE.

Cell lengths 3.8275, 15.3465, 9.4163 Å; angles 90.00, 90.00, 90.00 degrees
Last column: nearest neighbours and their distance in Å.
Space group Imm2 (No. 44)
Unique sites:
1 Y 0.0000 0.1476 0.0000 x4  2 Ni 2.84, 2 Te 3.13
2 Er 0.0000 0.5000 0.7329 x2  3 Te 3.15-3.21
3 Lu 0.0000 0.1849 0.3530 x4  2 Ni 2.75
4 Lu 0.0000 0.3655 0.1487 x4  2 Ni 2.71
5 Ni 0.0000 0.2595 0.6637 x4  4 Lu 2.71-2.75, 2 Y 2.84
6 Te 0.0000 0.0000 0.4986 x2  6 Lu 3.15, 2 Er 3.15
7 Te 0.0000 0.5000 0.3922 x2  2 Lu 3.09, 4 Y 3.13, 1 Er 3.21

Summary:
ΔE to the lowest computed polymorph, kJ/mol of atoms: 0.00
Total magnetization, μB/f.u.: 0.0
V, Å³ per cell: 553


Among the records above, which one has the lowest V? KAgAsAu


What is the formula in the second record? Y2ErLu4Ni2Te2